Record 1
# NaErPdSe3, relaxed, DFT PBE
# uncorrected energy = -4.676 eV per atom
# size of the total moment = 0.03 Bohr magnetons per cell
data_NaErPdSe3
_symmetry_space_group_name_H-M 'C m c m'
_symmetry_Int_Tables_number 63
_symmetry_space_group_name_Hall '-C 2c 2'
_cell_length_a 4.084
_cell_length_b 14.644
_cell_length_c 9.831
_cell_angle_alpha 90.00
_cell_angle_beta 90.00
_cell_angle_gamma 90.00
loop_
_atom_site_label
_atom_site_fract_x
_atom_site_fract_y
_atom_site_fract_z
Na1 0.000 0.236 0.250
Er1 0.000 0.000 0.000
Pd1 0.000 0.499 0.750
Se1 0.000 0.105 0.750
Se2 0.000 0.373 0.579

Record 2
# NdErNi2Pb, relaxed, DFT PBE
# uncorrected energy = -5.315 eV per atom
# size of the total moment = 0.00 Bohr magnetons per cell
data_NdErNi2Pb
_symmetry_space_group_name_H-M 'A m m 2'
_symmetry_Int_Tables_number 38
_cell_length_a 3.715
_cell_length_b 4.007
_cell_length_c 14.455
_cell_angle_alpha 90.00
_cell_angle_beta 90.00
_cell_angle_gamma 90.00
loop_
_symmetry_equiv_pos_as_xyz
'x,y,z'
'-x,-y,z'
'-x,y,z'
'x,-y,z'
'x,y+1/2,z+1/2'
'-x,-y+1/2,z+1/2'
'-x,y+1/2,z+1/2'
'x,-y+1/2,z+1/2'
loop_
_atom_site_label
_atom_site_fract_x
_atom_site_fract_y
_atom_site_fract_z
Nd1 0.000 0.000 0.000
Er1 0.000 0.000 0.279
Ni1 0.500 0.000 0.431
Ni2 0.500 0.000 0.835
Pb1 0.500 0.000 0.643

Question: Number 2 is which compound?
Answer: NdErNi2Pb